No. 1
This record from OQMD via LeMat-Bulk describes a relaxed structure of Dy2Mg. The functional is PBE.

a = 6.3180 Å, b = 6.3180 Å, c = 5.3375 Å
α = 90.00°, β = 90.00°, γ = 90.00°
With the nearest neighbours (Å) after each atom.
Space group P4_2/mnm (No. 136)
Symmetry-distinct sites (fractional):
Dy: 0.1766 0.1766 0.0000 [4 per cell]  3 Mg 2.89-3.10, 1 Dy 3.16
Mg: 0.0000 0.0000 0.5000 [2 per cell]  6 Dy 2.89-3.10

E: -2.9119 eV/atom
offset from the most stable computed form: 387 meV/atom
crystal system: tetragonal

---

No. 2
This record from OQMD via LeMat-Bulk describes a relaxed structure of Dy2Mg3. The functional is PBE.

a = 9.2121 Å, b = 9.2121 Å, c = 11.7315 Å
α = 90.00°, β = 90.00°, γ = 120.00°
With the nearest neighbours (Å) after each atom.
Space group R-3c (No. 167, hexagonal axes)
Symmetry-distinct sites (fractional):
Dy: 0.0000 0.0000 0.1246 [12 per cell]  2 Dy 2.92-2.94, 3 Mg 3.18
Mg: 0.0000 0.3188 0.2500 [18 per cell]  4 Dy 3.18-3.28, 2 Mg 3.54

E: -2.4248 eV/atom
crystal system: trigonal

---

No. 3
This record from OQMD via LeMat-Bulk describes a relaxed structure of Dy3Mg4. The functional is PBE.

a = 8.9788 Å, b = 8.9788 Å, c = 5.3984 Å
α = 90.00°, β = 90.00°, γ = 120.00°
With the nearest neighbours (Å) after each atom.
Space group P6_3/m (No. 176)
Symmetry-distinct sites (fractional):
Dy: 0.0675 0.2540 0.2500 [6 per cell]  6 Mg 3.25-3.59, 6 Dy 3.39-3.54
Mg: 0.1015 0.4881 0.7500 [6 per cell]  7 Mg 3.27-3.43, 5 Dy 3.34-3.59
Mg: 0.3333 0.6667 0.2500 [2 per cell]  3 Dy 3.25, 9 Mg 3.29-3.43

E: -2.8712 eV/atom
offset from the most stable computed form: 0 meV/atom
crystal system: hexagonal